(1)
# Nd3MgN | Alexandria | PBE-GGA | optimized geometry
# Formation energy from raw total energies: -0.587 eV per atom
# DOS at the Fermi energy: 5.6 states/eV per cell
# Calculated total energy: -5.432 eV per atom
data_Nd3MgN
_cell_length_a 5.0821
_cell_length_b 5.0821
_cell_length_c 5.0821
_cell_angle_alpha 90.00
_cell_angle_beta 90.00
_cell_angle_gamma 90.00
_symmetry_space_group_name_H-M 'P m -3 m'
_symmetry_Int_Tables_number 221
_symmetry_space_group_name_Hall '-P 4 2 3'
loop_
_atom_site_label
_atom_site_type_symbol
_atom_site_fract_x
_atom_site_fract_y
_atom_site_fract_z
_atom_site_occupancy
Nd1 Nd 0.0000 0.0000 0.5000 1
Mg1 Mg 0.5000 0.5000 0.5000 1
N1 N 0.0000 0.0000 0.0000 1

(2)
# Ni4PtRh2W | Alexandria | PBE-GGA | optimized geometry
# Formation energy: 0.43 eV per atom
# DOS at the Fermi energy: 48.0 states/eV per cell
# Calculated total energy: -6.675 eV per atom
data_Ni4PtRh2W
_cell_length_a 5.2099
_cell_length_b 8.7278
_cell_length_c 9.9243
_cell_angle_alpha 90.00
_cell_angle_beta 90.00
_cell_angle_gamma 90.00
_symmetry_space_group_name_H-M 'I m m a'
_symmetry_Int_Tables_number 74
_symmetry_space_group_name_Hall '-I 2b 2'
loop_
_atom_site_label
_atom_site_type_symbol
_atom_site_fract_x
_atom_site_fract_y
_atom_site_fract_z
_atom_site_occupancy
Ni1 Ni 0.0000 0.0002 0.2490 1
Ni2 Ni 0.2465 0.2500 0.0110 1
Pt1 Pt 0.0000 0.0000 0.5000 1
Rh1 Rh 0.0000 0.0000 0.0000 1
Rh2 Rh 0.2500 0.2500 0.7500 1
W1 W 0.2500 0.2500 0.2500 1